The following is a DFT calculation (PBE) of YGa5Co2 after structural relaxation.

Properties
- formation energy (kJ per mole of atoms) = -38.1
- crystal system = orthorhombic

a = 3.890 Å, b = 6.954 Å, c = 9.718 Å
α = 90.00°, β = 90.00°, γ = 90.00°
Space group Immm (No. 71)
Symmetry-distinct sites (fractional):
1 Y 0.000 0.000 0.000 [2 per cell]
2 Ga 0.000 0.197 0.345 [8 per cell]
3 Ga 0.000 0.500 0.000 [2 per cell]
4 Co 0.000 0.500 0.237 [4 per cell]